Entry 1:
Li2BeSe after structural relaxation. Source: Alexandria via LeMat-Bulk, functional PBE.

Summary:
- Magnetization: 0.0 Bohr magnetons per cell
- Formation energy from raw total energies: -0.046 eV per atom
- Symmetry: I-42d (122)
- Polymorph energy (0 for the lowest one): 1.55 eV/f.u.

Structure (POSCAR):
```
Li2BeSe
1.0
-1.838 1.838 8.907
1.838 -1.838 8.907
1.838 1.838 -8.907
Li Be Se
4 2 2
direct
0.114 0.625 0.989
0.375 0.364 0.489
0.636 0.125 0.011
0.875 0.886 0.511
0.250 0.750 0.500
0.500 0.500 0.000
0.000 0.000 0.000
0.750 0.250 0.500
```

Entry 2:
Li2BeSe after structural relaxation. Source: Alexandria via LeMat-Bulk, functional PBE.

Summary:
- Magnetization: 0.0 Bohr magnetons per cell
- Formation energy from raw total energies: -0.336 eV per atom
- Symmetry: Imm2 (44)
- Polymorph energy (0 for the lowest one): 0.39 eV/f.u.

Structure (POSCAR):
```
Li2BeSe
1.0
-1.724 1.899 5.329
1.724 -1.899 5.329
1.724 1.899 -5.329
Li Be Se
2 1 1
direct
0.000 0.000 0.000
0.731 0.231 0.500
0.451 0.451 0.000
0.323 0.823 0.500
```

Entry 3:
Li2BeSe after structural relaxation. Source: Alexandria via LeMat-Bulk, functional PBE.

Summary:
- Magnetization: 0.0 Bohr magnetons per cell
- Formation energy from raw total energies: 0.049 eV per atom
- Symmetry: R-3m (166)
- Polymorph energy (0 for the lowest one): 1.93 eV/f.u.

Structure (POSCAR):
```
Li2BeSe
1.0
1.501 0.867 8.380
-1.501 0.867 8.380
0.000 -1.733 8.380
Li Be Se
2 1 1
direct
0.244 0.244 0.244
0.756 0.756 0.756
0.000 0.000 0.000
0.500 0.500 0.500
```

Entry 4:
Li2BeSe after structural relaxation. Source: Alexandria via LeMat-Bulk, functional PBE.

Summary:
- Magnetization: 0.0 Bohr magnetons per cell
- Formation energy from raw total energies: -0.317 eV per atom
- Symmetry: P4/mmm (123)
- Polymorph energy (0 for the lowest one): 0.47 eV/f.u.

Structure (POSCAR):
```
Li2BeSe
1.0
3.849 0.000 0.000
0.000 3.849 0.000
0.000 0.000 3.735
Li Be Se
2 1 1
direct
0.000 0.500 0.000
0.500 0.000 0.000
0.000 0.000 0.500
0.500 0.500 0.500
```

Entry 5:
LiBe4Se after structural relaxation. Source: Alexandria via LeMat-Bulk, functional PBE.

Summary:
- Magnetization: 0.0 Bohr magnetons per cell
- Formation energy from raw total energies: 0.302 eV per atom
- Symmetry: F-43m (216)

Structure (POSCAR):
```
LiBe4Se
1.0
0.000 3.233 3.233
3.233 0.000 3.233
3.233 3.233 0.000
Li Be Se
1 4 1
direct
0.000 0.000 0.000
0.372 0.372 0.372
0.372 0.372 0.883
0.372 0.883 0.372
0.883 0.372 0.372
0.750 0.750 0.750
```

Entry 6:
Li3BeSe after structural relaxation. Source: Alexandria via LeMat-Bulk, functional PBE.

Summary:
- Magnetization: 0.9 Bohr magnetons per cell
- Formation energy from raw total energies: 0.196 eV per atom
- Symmetry: Pm-3m (221)
- Polymorph energy (0 for the lowest one): 1.43 eV/f.u.

Structure (POSCAR):
```
Li3BeSe
1.0
4.508 0.000 0.000
0.000 4.508 0.000
0.000 0.000 4.508
Li Be Se
3 1 1
direct
0.000 0.000 0.500
0.000 0.500 0.000
0.500 0.000 0.000
0.000 0.000 0.000
0.500 0.500 0.500
```